# 1
Below is an optimized crystal structure of Dy5HoPd6, with properties calculated at the PBE-GGA level.

The space group is Cmmm (No. 65) and the conventional cell measures 5.0152, 14.9882 and 6.8706 Å, with angles of 90.00, 90.00 and 90.00 degrees. The inequivalent atoms are Dy at (0.0000, 0.0000, 0.0000), Dy at (0.0000, 0.3333, 0.0000), Dy at (0.0000, 0.3335, 0.5000), Ho at (0.0000, 0.0000, 0.5000), Pd at (0.0000, 0.1661, 0.2504) and Pd at (0.0000, 0.5000, 0.2512).

For the formation energy, the calculation gives -0.888 eV/atom. The density of states at the Fermi level comes out at 0.634 states/eV/atom. For the energy, the calculation gives -69.40 eV per formula unit.



# 2
Below is an optimized crystal structure of CaPaRh4, with properties calculated at the PBE-GGA level.

The space group is C2/m (No. 12) and the conventional cell measures 14.6977, 6.3642 and 5.2648 Å, with angles of 90.00, 110.90 and 90.00 degrees. The inequivalent atoms are Ca at (0.1917, 0.0000, 0.1150), Pa at (0.0799, 0.5000, 0.8211), Rh at (0.0000, 0.2060, 0.0000), Rh at (0.1112, 0.2141, 0.5402) and Rh at (0.2037, 0.5000, 0.3122).

As for the energy above the most stable polymorph in this dataset: 0.1332 eV per atom. For the formation energy, the calculation gives -0.427 eV/atom. The density of states at the Fermi level comes out at 0.695 states/eV/atom. For the energy, the calculation gives -43.46 eV per formula unit.



# 3
Below is an optimized crystal structure of CeTl3Ag2Cl9, with properties calculated at the PBE-GGA level.

The space group is P-3m1 (No. 164) and the conventional cell measures 7.5654, 7.5654 and 9.4362 Å, with angles of 90.00, 90.00 and 120.00 degrees. The inequivalent atoms are Ce at (0.0000, 0.0000, 0.0000), Tl at (0.0000, 0.0000, 0.5000), Tl at (0.3333, 0.6667, 0.2666), Ag at (0.3333, 0.6667, 0.6695), Cl at (0.0000, 0.5000, 0.5000) and Cl at (0.1610, 0.3219, 0.8314).

The value obtained for the uncorrected formation energy is -1.179 eV per atom. The density of states at the Fermi level comes out at 0.261 states/eV/atom. For the energy, the calculation gives -53.03 eV per formula unit.